[1]
# PBE-GGA NiTeMo2Pt, optimized geometry
# DOS at the Fermi energy in states/eV per atom: 1.17
# Crystal system: tetragonal
# Size of the total moment in μB per cell: 1.787
# Formation energy from raw total energies in eV/f.u.: 5.25
# V in Å³/cell: 96
data_NiTeMo2Pt
_cell_length_a 4.521
_cell_length_b 4.521
_cell_length_c 4.681
_cell_angle_alpha 90.00
_cell_angle_beta 90.00
_cell_angle_gamma 90.00
_space_group_name_H-M_alt 'P 4/m m m'
_space_group_IT_number 123
_space_group_name_Hall '-P 4 2'
loop_
_atom_site_label
_atom_site_type_symbol
_atom_site_fract_x
_atom_site_fract_y
_atom_site_fract_z
Ni1 Ni 0.000 0.000 0.000
Te1 Te 0.500 0.500 0.500
Mo1 Mo 0.000 0.500 0.000
Pt1 Pt 0.000 0.000 0.500

---

[2]
# PBE-GGA Ni2MoPtW, optimized geometry
# DOS at the Fermi energy in states/eV per atom: 1.16
# Crystal system: tetragonal
# ΔE_f in meV per atom: 1638
# Energy relative to the lowest polymorph listed for this composition in meV per atom: 0
# Size of the total moment in μB per cell: 0.000
# V in Å³/cell: 91
data_Ni2MoPtW
_cell_length_a 4.438
_cell_length_b 4.438
_cell_length_c 4.615
_cell_angle_alpha 90.00
_cell_angle_beta 90.00
_cell_angle_gamma 90.00
_space_group_name_H-M_alt 'P 4/m m m'
_space_group_IT_number 123
_space_group_name_Hall '-P 4 2'
loop_
_atom_site_label
_atom_site_type_symbol
_atom_site_fract_x
_atom_site_fract_y
_atom_site_fract_z
Ni1 Ni 0.000 0.500 0.000
Mo1 Mo 0.000 0.000 0.000
Pt1 Pt 0.500 0.500 0.500
W1 W 0.000 0.000 0.500

---

[3]
# PBE-GGA Ni2MoPtW, optimized geometry
# DOS at the Fermi energy in states/eV per atom: 1.66
# Crystal system: tetragonal
# ΔE_f in meV per atom: 1793
# Energy relative to the lowest polymorph listed for this composition in meV per atom: 155
# Size of the total moment in μB per cell: 0.887
# V in Å³/cell: 94
data_Ni2MoPtW
_cell_length_a 4.477
_cell_length_b 4.477
_cell_length_c 4.697
_cell_angle_alpha 90.00
_cell_angle_beta 90.00
_cell_angle_gamma 90.00
_space_group_name_H-M_alt 'P 4/m m m'
_space_group_IT_number 123
_space_group_name_Hall '-P 4 2'
loop_
_atom_site_label
_atom_site_type_symbol
_atom_site_fract_x
_atom_site_fract_y
_atom_site_fract_z
Ni1 Ni 0.000 0.500 0.000
Mo1 Mo 0.000 0.000 0.500
Pt1 Pt 0.000 0.000 0.000
W1 W 0.500 0.500 0.500

---

[4]
# PBE-GGA NiMoPtW, optimized geometry
# DOS at the Fermi energy in states/eV per atom: 0.78
# Crystal system: cubic
# ΔE_f in meV per atom: 61
# Size of the total moment in μB per cell: 0.001
# V in Å³/cell: 237
data_NiMoPtW
_cell_length_a 6.188
_cell_length_b 6.188
_cell_length_c 6.188
_cell_angle_alpha 90.00
_cell_angle_beta 90.00
_cell_angle_gamma 90.00
_space_group_name_H-M_alt 'F -4 3 m'
_space_group_IT_number 216
_space_group_name_Hall 'F -4 2 3'
loop_
_atom_site_label
_atom_site_type_symbol
_atom_site_fract_x
_atom_site_fract_y
_atom_site_fract_z
Ni1 Ni 0.000 0.000 0.000
Mo1 Mo 0.250 0.250 0.750
Pt1 Pt 0.250 0.250 0.250
W1 W 0.000 0.000 0.500

---

[5]
# PBE-GGA YNiMoPt2, optimized geometry
# DOS at the Fermi energy in states/eV per atom: 0.69
# Crystal system: tetragonal
# ΔE_f in meV per atom: 210
# Size of the total moment in μB per cell: 0.000
# V in Å³/cell: 107
data_YNiMoPt2
_cell_length_a 4.873
_cell_length_b 4.873
_cell_length_c 4.501
_cell_angle_alpha 90.00
_cell_angle_beta 90.00
_cell_angle_gamma 90.00
_space_group_name_H-M_alt 'P 4/m m m'
_space_group_IT_number 123
_space_group_name_Hall '-P 4 2'
loop_
_atom_site_label
_atom_site_type_symbol
_atom_site_fract_x
_atom_site_fract_y
_atom_site_fract_z
Y1 Y 0.000 0.000 0.000
Ni1 Ni 0.500 0.500 0.000
Mo1 Mo 0.500 0.500 0.500
Pt1 Pt 0.000 0.500 0.500

---

[6]
# PBE-GGA PuNi2Mo, optimized geometry
# DOS at the Fermi energy in states/eV per atom: 3.30
# Crystal system: cubic
# ΔE_f in meV per atom: 297
# Size of the total moment in μB per cell: 11.837
# V in Å³/cell: 254
data_PuNi2Mo
_cell_length_a 6.332
_cell_length_b 6.332
_cell_length_c 6.332
_cell_angle_alpha 90.00
_cell_angle_beta 90.00
_cell_angle_gamma 90.00
_space_group_name_H-M_alt 'F m -3 m'
_space_group_IT_number 225
_space_group_name_Hall '-F 4 2 3'
loop_
_atom_site_label
_atom_site_type_symbol
_atom_site_fract_x
_atom_site_fract_y
_atom_site_fract_z
Pu1 Pu 0.000 0.000 0.000
Ni1 Ni 0.250 0.250 0.250
Mo1 Mo 0.000 0.000 0.500

---

[7]
# PBE-GGA PuNi4Mo, optimized geometry
# DOS at the Fermi energy in states/eV per atom: 3.23
# Crystal system: cubic
# ΔE_f in meV per atom: 18
# Size of the total moment in μB per cell: 8.314
# V in Å³/cell: 330
data_PuNi4Mo
_cell_length_a 6.907
_cell_length_b 6.907
_cell_length_c 6.907
_cell_angle_alpha 90.00
_cell_angle_beta 90.00
_cell_angle_gamma 90.00
_space_group_name_H-M_alt 'F -4 3 m'
_space_group_IT_number 216
_space_group_name_Hall 'F -4 2 3'
loop_
_atom_site_label
_atom_site_type_symbol
_atom_site_fract_x
_atom_site_fract_y
_atom_site_fract_z
Pu1 Pu 0.000 0.000 0.000
Ni1 Ni 0.124 0.124 0.376
Mo1 Mo 0.250 0.250 0.750

---

[8]
# PBE-GGA Pu2NiMo, optimized geometry
# DOS at the Fermi energy in states/eV per atom: 2.94
# Crystal system: tetragonal
# ΔE_f in meV per atom: 199
# Size of the total moment in μB per cell: 8.922
# V in Å³/cell: 76
data_Pu2NiMo
_cell_length_a 4.815
_cell_length_b 4.815
_cell_length_c 3.298
_cell_angle_alpha 90.00
_cell_angle_beta 90.00
_cell_angle_gamma 90.00
_space_group_name_H-M_alt 'P 4/m m m'
_space_group_IT_number 123
_space_group_name_Hall '-P 4 2'
loop_
_atom_site_label
_atom_site_type_symbol
_atom_site_fract_x
_atom_site_fract_y
_atom_site_fract_z
Pu1 Pu 0.000 0.500 0.000
Ni1 Ni 0.000 0.000 0.500
Mo1 Mo 0.500 0.500 0.500